1.
The following is a DFT calculation (PBE-GGA) of a relaxed BaScMn2 crystal.

```
data_BaScMn2
_chemical_formula_sum 'Ba2 Sc2 Mn4'
_space_group_name_H-M_alt 'A m m 2'
_space_group_IT_number 38
_cell_length_a 4.500
_cell_length_b 3.504
_cell_length_c 13.196
_cell_angle_alpha 90.00
_cell_angle_beta 90.00
_cell_angle_gamma 90.00
loop_
_space_group_symop_operation_xyz
'x,y,z'
'-x,-y,z'
'-x,y,z'
'x,-y,z'
'x,y+1/2,z+1/2'
'-x,-y+1/2,z+1/2'
'-x,y+1/2,z+1/2'
'x,-y+1/2,z+1/2'
loop_
_atom_site_label
_atom_site_type_symbol
_atom_site_fract_x
_atom_site_fract_y
_atom_site_fract_z
_atom_site_occupancy
Ba1 Ba 0.000 0.000 0.000 1
Sc1 Sc 0.500 0.000 0.293 1
Mn1 Mn 0.000 0.000 0.734 1
Mn2 Mn 0.500 0.000 0.631 1
```

Computed properties:
volume	26.01	Å³/atom
D(E_F)	1.058	states/eV/atom
density	4.663	g/cm³
energy of formation	0.515	eV/atom
total magnetization	5.9	μB/f.u.

2.
The following is a DFT calculation (PBE-GGA) of a relaxed Ba2ScMn crystal.

```
data_Ba2ScMn
_chemical_formula_sum 'Ba4 Sc2 Mn2'
_space_group_name_H-M_alt 'I m m 2'
_space_group_IT_number 44
_cell_length_a 3.880
_cell_length_b 6.116
_cell_length_c 12.304
_cell_angle_alpha 90.00
_cell_angle_beta 90.00
_cell_angle_gamma 90.00
loop_
_space_group_symop_operation_xyz
'x,y,z'
'-x,-y,z'
'-x,y,z'
'x,-y,z'
'x+1/2,y+1/2,z+1/2'
'-x+1/2,-y+1/2,z+1/2'
'-x+1/2,y+1/2,z+1/2'
'x+1/2,-y+1/2,z+1/2'
loop_
_atom_site_label
_atom_site_type_symbol
_atom_site_fract_x
_atom_site_fract_y
_atom_site_fract_z
_atom_site_occupancy
Ba1 Ba 0.000 0.000 0.000 1
Ba2 Ba 0.000 0.500 0.200 1
Sc1 Sc 0.000 0.000 0.401 1
Mn1 Mn 0.000 0.500 0.737 1
```

Computed properties:
volume	36.49	Å³/atom
D(E_F)	1.451	states/eV/atom
density	4.261	g/cm³
energy of formation	0.463	eV/atom
total magnetization	2.8	μB/f.u.

3.
The following is a DFT calculation (PBE-GGA) of a relaxed BaScMn2 crystal.

```
data_BaScMn2
_chemical_formula_sum 'Ba1 Sc1 Mn2'
_space_group_name_H-M_alt 'P m m m'
_space_group_IT_number 47
_cell_length_a 3.597
_cell_length_b 3.699
_cell_length_c 7.478
_cell_angle_alpha 90.00
_cell_angle_beta 90.00
_cell_angle_gamma 90.00
loop_
_space_group_symop_operation_xyz
'x,y,z'
'-x,-y,-z'
'-x,-y,z'
'x,y,-z'
'x,-y,-z'
'-x,y,z'
'-x,y,-z'
'x,-y,z'
loop_
_atom_site_label
_atom_site_type_symbol
_atom_site_fract_x
_atom_site_fract_y
_atom_site_fract_z
_atom_site_occupancy
Ba1 Ba 0.000 0.000 0.000 1
Sc1 Sc 0.000 0.000 0.500 1
Mn1 Mn 0.500 0.500 0.325 1
```

Computed properties:
volume	24.88	Å³/atom
D(E_F)	1.292	states/eV/atom
density	4.875	g/cm³
energy of formation	0.417	eV/atom
total magnetization	6.4	μB/f.u.